LiCu: optimized geometry, PBE.

Cell lengths 4.2698, 4.2698, 4.9163 Å; angles 90.00, 90.00, 120.00 degrees
Last column: nearest neighbours and their distance in Å.
Positions (direct):
Li 0.3333 0.6667 0.2500  5 Cu 2.46-2.47
Li 0.6667 0.3333 0.7500  5 Cu 2.46-2.47
Cu 0.3333 0.6667 0.7500  5 Li 2.46-2.47
Cu 0.6667 0.3333 0.2500  5 Li 2.46-2.47

Computed properties:
- Calculated total energy: -2.483 eV/atom
- Energy of formation: 0.522 eV per atom

LiPrTmNi: optimized geometry, PBE.

Cell lengths 4.9924, 4.9924, 4.9924 Å; angles 60.00, 60.00, 60.00 degrees
Last column: nearest neighbours and their distance in Å.
Positions (direct):
Li 0.0000 0.0000 0.0000  4 Pr 3.06, 4 Tm 3.06
Pr 0.2500 0.2500 0.2500  4 Ni 3.06, 4 Li 3.06
Tm 0.7500 0.7500 0.7500  4 Ni 3.06, 4 Li 3.06
Ni 0.5000 0.5000 0.5000  4 Tm 3.06, 4 Pr 3.06

Computed properties:
- Calculated total energy: -4.331 eV/atom
- Energy of formation: -0.094 eV per atom

YGaCl3: optimized geometry, PBE.

Cell lengths 5.3294, 5.3294, 5.3294 Å; angles 90.00, 90.00, 90.00 degrees
Last column: nearest neighbours and their distance in Å.
Positions (direct):
Y 0.0000 0.0000 0.0000  6 Cl 2.66
Ga 0.5000 0.5000 0.5000  12 Cl 3.77
Cl 0.0000 0.0000 0.5000  2 Y 2.66
Cl 0.0000 0.5000 0.0000  2 Y 2.66
Cl 0.5000 0.0000 0.0000  2 Y 2.66

Computed properties:
- Formation energy (no corrections): -1.356 eV/atom
- Calculated total energy: -4.362 eV/atom
- Energy relative to the lowest polymorph listed for this composition: 0 meV/atom

Sc2Zn6CuPd: optimized geometry, PBE.

Cell lengths 4.8545, 5.2043, 6.7058 Å; angles 78.63, 85.42, 83.96 degrees
Last column: nearest neighbours and their distance in Å.
Positions (direct):
Sc 0.0132 0.4283 0.2437  7 Zn 2.78-3.10, 1 Cu 2.95, 2 Pd 3.02-3.10
Sc 0.9868 0.5717 0.7563  7 Zn 2.78-3.10, 1 Cu 2.95, 2 Pd 3.02-3.10
Zn 0.1696 0.8668 0.3688  1 Cu 2.43, 3 Zn 2.47-2.58, 1 Pd 2.61
Zn 0.3369 0.0448 0.6663  5 Zn 2.47-2.72, 1 Cu 2.59, 1 Pd 2.65
Zn 0.4918 0.2685 0.9664  5 Zn 2.55-2.84, 1 Pd 2.71
Zn 0.5082 0.7315 0.0336  5 Zn 2.55-2.84, 1 Pd 2.71
Zn 0.6631 0.9552 0.3337  5 Zn 2.47-2.72, 1 Cu 2.59, 1 Pd 2.65
Zn 0.8304 0.1332 0.6312  1 Cu 2.43, 3 Zn 2.47-2.58, 1 Pd 2.61
Cu 0.5000 0.5000 0.5000  4 Zn 2.43-2.59
Pd 0.0000 0.0000 0.0000  8 Zn 2.61-2.86

Computed properties:
- Calculated total energy: -3.230 eV/atom
- Energy of formation: -0.270 eV per atom

Pm6PdRu2: optimized geometry, PBE.

Cell lengths 8.5610, 8.5610, 8.5610 Å; angles 111.27, 110.81, 106.38 degrees
Last column: nearest neighbours and their distance in Å.
Positions (direct):
Pm 0.0529 0.2424 0.8105  1 Ru 2.81, 1 Pd 3.09
Pm 0.1795 0.2774 0.4569  3 Ru 3.02-3.05, 1 Pd 3.20
Pm 0.1795 0.7226 0.9020  3 Ru 3.02-3.05, 1 Pd 3.20
Pm 0.3290 0.0140 0.6850  3 Ru 2.76-3.04
Pm 0.3290 0.6440 0.3150  3 Ru 2.76-3.04
Pm 0.4319 0.2424 0.1895  1 Ru 2.81, 1 Pd 3.09
Pm 0.5681 0.7576 0.8105  1 Ru 2.81, 1 Pd 3.09
Pm 0.6710 0.3560 0.6850  3 Ru 2.76-3.04
Pm 0.6710 0.9860 0.3150  3 Ru 2.76-3.04
Pm 0.8205 0.2774 0.0980  3 Ru 3.02-3.05, 1 Pd 3.20
Pm 0.8205 0.7226 0.5431  3 Ru 3.02-3.05, 1 Pd 3.20
Pm 0.9471 0.7576 0.1895  1 Ru 2.81, 1 Pd 3.09
Pd 0.0000 0.0000 0.0000  8 Pm 3.09-3.20, 2 Ru 3.14
Pd 0.5000 0.5000 0.0000  8 Pm 3.22-3.51
Ru 0.1241 0.6241 0.5000  1 Ru 2.55, 2 Pm 2.76
Ru 0.3231 0.0000 0.3231  8 Pm 2.81-3.04, 1 Pd 3.14
Ru 0.6769 0.0000 0.6769  8 Pm 2.81-3.04, 1 Pd 3.14
Ru 0.8759 0.3759 0.5000  1 Ru 2.55, 2 Pm 2.76

Computed properties:
- Calculated total energy: -6.126 eV/atom
- Energy of formation: -0.321 eV per atom
- Energy relative to the lowest polymorph listed for this composition: 0 meV/atom

Na2Tl2Te3: optimized geometry, PBE.

Cell lengths 8.9215, 8.9215, 4.7467 Å; angles 96.50, 96.50, 38.54 degrees
Last column: nearest neighbours and their distance in Å.
Positions (direct):
Na 0.1302 0.1302 0.0808  4 Te 3.13-3.37, 2 Tl 3.36
Na 0.8698 0.8698 0.9192  4 Te 3.13-3.37, 2 Tl 3.36
Tl 0.4117 0.4117 0.2458  3 Te 3.19-3.45, 2 Na 3.36
Tl 0.5883 0.5883 0.7542  3 Te 3.19-3.45, 2 Na 3.36
Te 0.0000 0.0000 0.5000  4 Na 3.13-3.31, 4 Tl 3.45
Te 0.2632 0.2632 0.6032  2 Te 3.12, 2 Na 3.14-3.37, 1 Tl 3.19
Te 0.7368 0.7368 0.3968  2 Te 3.12, 2 Na 3.14-3.37, 1 Tl 3.19

Computed properties:
- Formation energy (no corrections): -0.450 eV/atom
- Calculated total energy: -2.850 eV/atom

Li3Mo: optimized geometry, PBE.

Cell lengths 2.5963, 2.5963, 9.7589 Å; angles 90.00, 90.00, 90.00 degrees
Last column: nearest neighbours and their distance in Å.
Positions (direct):
Li 0.0000 0.0000 0.0000  4 Li 2.60
Li 0.5000 0.5000 0.2629  4 Li 2.60
Li 0.5000 0.5000 0.7371  4 Li 2.60
Mo 0.0000 0.0000 0.5000  4 Mo 2.60

Computed properties:
- Calculated total energy: -3.879 eV/atom
- Energy of formation: 0.264 eV per atom
- Energy relative to the lowest polymorph listed for this composition: 32 meV/atom

HgBiF: optimized geometry, PBE.

Cell lengths 4.5827, 5.5382, 6.0953 Å; angles 95.24, 90.38, 94.83 degrees
Last column: nearest neighbours and their distance in Å.
Positions (direct):
Hg 0.0000 0.0000 0.0000  2 F 2.72-2.81, 1 Hg 2.86, 1 Bi 3.02
Hg 0.0705 0.6443 0.3026  2 F 2.77-3.09, 1 Hg 2.86, 1 Bi 2.99
Bi 0.5054 0.5290 0.8079  2 F 2.29-2.34
Bi 0.9558 0.2181 0.5662  1 F 2.72, 2 Hg 2.99-3.02
F 0.5165 0.2746 0.0831  1 Bi 2.29
F 0.5470 0.8329 0.5653  1 Bi 2.34

Computed properties:
- Formation energy (no corrections): -0.860 eV/atom
- Calculated total energy: -2.878 eV/atom
- Energy relative to the lowest polymorph listed for this composition: 0 meV/atom

Tb7Pm4Er: optimized geometry, PBE.

Cell lengths 6.7368, 6.7368, 12.7892 Å; angles 114.90, 114.90, 52.38 degrees
Last column: nearest neighbours and their distance in Å.
Positions (direct):
Tb 0.0000 0.0000 0.0000  2 Er 2.97, 2 Tb 3.14
Tb 0.2119 0.2119 0.9235  4 Tb 3.14-3.44, 1 Er 3.15, 4 Pm 3.35-3.40
Tb 0.2570 0.2570 0.6884  4 Tb 3.28-3.65, 1 Pm 3.67
Tb 0.3643 0.3643 0.4956  2 Tb 3.23-3.28, 5 Pm 3.31-3.56
Tb 0.6357 0.6357 0.5044  2 Tb 3.23-3.28, 5 Pm 3.31-3.56
Tb 0.7430 0.7430 0.3116  4 Tb 3.28-3.65, 1 Pm 3.67
Tb 0.7881 0.7881 0.0765  4 Tb 3.14-3.44, 1 Er 3.15, 4 Pm 3.35-3.40
Pm 0.0560 0.0560 0.3320  5 Tb 3.31-3.67, 2 Pm 3.63
Pm 0.3636 0.3636 0.2226  7 Tb 3.38-3.72, 2 Pm 3.63
Pm 0.6364 0.6364 0.7774  7 Tb 3.38-3.72, 2 Pm 3.63
Pm 0.9440 0.9440 0.6680  5 Tb 3.31-3.67, 2 Pm 3.63
Er 0.5000 0.5000 0.0000  4 Tb 2.97-3.15

Computed properties:
- Calculated total energy: -4.394 eV/atom
- Energy of formation: 0.270 eV per atom
- Energy relative to the lowest polymorph listed for this composition: 184 meV/atom

TiNbRh2: optimized geometry, PBE.

Cell lengths 8.8763, 8.8763, 8.8763 Å; angles 18.71, 18.71, 18.71 degrees
Last column: nearest neighbours and their distance in Å.
Positions (direct):
Ti 0.0000 0.0000 0.0000  6 Rh 2.63, 6 Ti 2.89
Nb 0.5000 0.5000 0.5000  6 Rh 2.85, 6 Nb 2.89
Rh 0.2553 0.2553 0.2553  3 Ti 2.63, 3 Nb 2.85, 6 Rh 2.89
Rh 0.7447 0.7447 0.7447  3 Ti 2.63, 3 Nb 2.85, 6 Rh 2.89

Computed properties:
- Calculated total energy: -8.498 eV/atom
- Energy of formation: -0.331 eV per atom

LiCaOs2: optimized geometry, PBE.

Cell lengths 4.5187, 4.5187, 5.7240 Å; angles 97.03, 97.03, 37.90 degrees
Last column: nearest neighbours and their distance in Å.
Positions (direct):
Li 0.0000 0.0000 0.0000  5 Os 2.62-2.76, 1 Ca 2.68, 2 Li 2.93
Ca 0.7748 0.7748 0.2842  1 Li 2.68, 2 Ca 2.93
Os 0.2622 0.2622 0.7639  3 Os 2.47-2.55, 2 Li 2.72
Os 0.5239 0.5239 0.6263  3 Os 2.47-2.55, 2 Li 2.62

Computed properties:
- Calculated total energy: -6.268 eV/atom
- Energy of formation: 0.325 eV per atom
- Energy relative to the lowest polymorph listed for this composition: 10 meV/atom

Ta5Mo4Rh: optimized geometry, PBE.

Cell lengths 3.2353, 3.2353, 16.0381 Å; angles 90.00, 90.00, 90.00 degrees
Last column: nearest neighbours and their distance in Å.
Positions (direct):
Ta 0.0000 0.0000 0.0000  8 Mo 2.80
Ta 0.0000 0.0000 0.2018  8 Mo 2.80-2.81
Ta 0.0000 0.0000 0.3990  4 Mo 2.75, 4 Rh 2.80
Ta 0.0000 0.0000 0.6010  4 Mo 2.75, 4 Rh 2.80
Ta 0.0000 0.0000 0.7982  8 Mo 2.80-2.81
Mo 0.5000 0.5000 0.1006  8 Ta 2.80
Mo 0.5000 0.5000 0.3036  8 Ta 2.75-2.81
Mo 0.5000 0.5000 0.6964  8 Ta 2.75-2.81
Mo 0.5000 0.5000 0.8994  8 Ta 2.80
Rh 0.5000 0.5000 0.5000  8 Ta 2.80

Computed properties:
- Calculated total energy: -11.259 eV/atom
- Energy of formation: -0.265 eV per atom

Which formula does entry 6 have? Na2Tl2Te3

What is the calculated total energy in the ninth record? -4.394 eV/atom

Which value of calculated total energy does entry 10 give? -8.498 eV/atom

Which value of calculated total energy does entry 6 give? -2.850 eV/atom